(1)
# PrScTe3

PrScTe3 after structural relaxation (PBE, Alexandria via LeMat-Bulk).

Summary:
The total energy comes out at -26.84 eV per formula unit. As for the crystal system: monoclinic.

Unit cell a=9.432 b=9.955 c=8.396 alpha=90.00 beta=90.00 gamma=116.74
Positions (direct):
Pr 0.447 0.889 0.210
Pr 0.553 0.111 0.790
Pr 0.053 0.111 0.710
Pr 0.947 0.889 0.290
Sc 0.580 0.689 0.611
Sc 0.420 0.311 0.389
Sc 0.920 0.311 0.111
Sc 0.080 0.689 0.889
Te 0.794 0.001 0.006
Te 0.206 0.999 0.994
Te 0.706 0.999 0.506
Te 0.294 0.001 0.494
Te 0.394 0.745 0.849
Te 0.606 0.255 0.151
Te 0.106 0.255 0.349
Te 0.894 0.745 0.651
Te 0.056 0.622 0.220
Te 0.944 0.378 0.780
Te 0.444 0.378 0.720
Te 0.556 0.622 0.280

***

(2)
# Pr4ScTe5

Pr4ScTe5 after structural relaxation (PBE, Alexandria via LeMat-Bulk).

Summary:
The total energy comes out at -54.67 eV per formula unit. As for the crystal system: tetragonal.

Unit cell a=4.430 b=4.430 c=16.374 alpha=97.77 beta=97.77 gamma=90.00
Positions (direct):
Pr 0.395 0.395 0.791
Pr 0.811 0.811 0.623
Pr 0.189 0.189 0.377
Pr 0.605 0.605 0.209
Sc 0.000 0.000 0.000
Te 0.090 0.090 0.180
Te 0.500 0.500 0.000
Te 0.910 0.910 0.820
Te 0.294 0.294 0.588
Te 0.706 0.706 0.412

***

(3)
# PrSc2Te3

PrSc2Te3 after structural relaxation (PBE, Alexandria via LeMat-Bulk).

Summary:
The total energy comes out at -33.37 eV per formula unit. As for the crystal system: monoclinic.

Unit cell a=4.178 b=7.572 c=11.844 alpha=80.62 beta=100.16 gamma=90.00
Last column: magnetic moment on the atom in μB.
Positions (direct):
Pr 0.326 0.964 0.652  -0.01
Pr 0.674 0.036 0.348  -0.01
Sc 0.333 0.447 0.666  0.08
Sc 0.667 0.553 0.334  0.08
Sc 0.973 0.834 0.946  0.45
Sc 0.027 0.166 0.054  0.45
Te 0.223 0.302 0.446  0.00
Te 0.104 0.810 0.208  -0.01
Te 0.431 0.641 0.861  -0.01
Te 0.777 0.698 0.554  0.00
Te 0.569 0.359 0.139  -0.01
Te 0.896 0.190 0.792  -0.01

***

(4)
# PrSc2Te4

PrSc2Te4 after structural relaxation (PBE, Alexandria via LeMat-Bulk).

Summary:
The total energy comes out at -39.01 eV per formula unit. As for the crystal system: orthorhombic.

Unit cell a=4.227 b=7.210 c=14.508 alpha=90.00 beta=90.00 gamma=107.05
Positions (direct):
Pr 0.623 0.246 0.750
Pr 0.377 0.754 0.250
Sc 0.129 0.258 0.435
Sc 0.871 0.742 0.935
Sc 0.129 0.258 0.065
Sc 0.871 0.742 0.565
Te 0.771 0.542 0.115
Te 0.771 0.542 0.385
Te 0.229 0.458 0.885
Te 0.229 0.458 0.615
Te 0.950 0.899 0.750
Te 0.050 0.101 0.250
Te 0.500 0.000 0.000
Te 0.500 0.000 0.500

***

(5)
# Pr4ScTe7

Pr4ScTe7 after structural relaxation (PBE, Alexandria via LeMat-Bulk).

Summary:
The total energy comes out at -64.16 eV per formula unit. As for the crystal system: monoclinic.

Unit cell a=4.344 b=7.600 c=13.367 alpha=104.25 beta=90.00 gamma=106.61
Positions (direct):
Pr 0.697 0.394 0.799
Pr 0.300 0.601 0.194
Pr 0.998 0.996 0.995
Pr 0.113 0.226 0.433
Sc 0.886 0.773 0.575
Te 0.748 0.496 0.362
Te 0.275 0.550 0.648
Te 0.334 0.667 0.948
Te 0.661 0.323 0.048
Te 0.030 0.060 0.771
Te 0.965 0.930 0.217
Te 0.492 0.984 0.510

***

(6)
# PrScTe

PrScTe after structural relaxation (PBE, Alexandria via LeMat-Bulk).

Summary:
The total energy comes out at -15.96 eV per formula unit. As for the crystal system: hexagonal.

Unit cell a=3.983 b=5.005 c=5.005 alpha=120.00 beta=90.00 gamma=90.00
Last column: magnetic moment on the atom in μB.
Positions (direct):
Pr 0.667 0.667 0.333  0.22
Sc 0.167 0.000 0.000  0.54
Te 0.167 0.333 0.667  0.01

***

(7)
# PrScTe

PrScTe after structural relaxation (PBE, Alexandria via LeMat-Bulk).

Summary:
The total energy comes out at -17.03 eV per formula unit. As for the crystal system: tetragonal.

Unit cell a=4.373 b=4.373 c=9.140 alpha=103.84 beta=103.84 gamma=90.00
Last column: magnetic moment on the atom in μB.
Positions (direct):
Pr 0.678 0.678 0.357  0.01
Pr 0.322 0.322 0.643  0.01
Sc 0.500 0.000 0.000  0.37
Sc 0.000 0.500 0.000  0.37
Te 0.125 0.125 0.251  -0.01
Te 0.875 0.875 0.749  -0.01

***

(8)
# Pr2ScTe3

Pr2ScTe3 after structural relaxation (PBE, Alexandria via LeMat-Bulk).

Summary:
The total energy comes out at -33.21 eV per formula unit. As for the crystal system: orthorhombic.

Unit cell a=7.672 b=7.672 c=13.821 alpha=100.87 beta=100.87 gamma=108.71
Positions (direct):
Pr 0.996 0.496 0.992
Pr 0.422 0.422 0.844
Pr 0.828 0.328 0.656
Pr 0.254 0.254 0.508
Pr 0.746 0.746 0.492
Pr 0.672 0.172 0.344
Pr 0.578 0.578 0.156
Pr 0.504 0.004 0.008
Sc 0.920 0.920 0.840
Sc 0.330 0.830 0.660
Sc 0.170 0.670 0.340
Sc 0.080 0.080 0.160
Te 0.165 0.685 0.824
Te 0.659 0.139 0.824
Te 0.085 0.065 0.676
Te 0.591 0.611 0.676
Te 0.023 0.523 0.500
Te 0.477 0.977 0.500
Te 0.389 0.409 0.324
Te 0.935 0.915 0.324
Te 0.861 0.341 0.176
Te 0.315 0.835 0.176
Te 0.227 0.227 0.000
Te 0.773 0.773 0.000

***

(9)
# PrScTe3

PrScTe3 after structural relaxation (PBE, Alexandria via LeMat-Bulk).

Summary:
The total energy comes out at -27.06 eV per formula unit. As for the crystal system: orthorhombic.

Unit cell a=4.339 b=9.107 c=15.261 alpha=90.00 beta=90.00 gamma=90.00
Positions (direct):
Pr 0.250 0.905 0.327
Pr 0.750 0.095 0.673
Pr 0.750 0.595 0.827
Pr 0.250 0.405 0.173
Sc 0.250 0.655 0.547
Sc 0.750 0.345 0.453
Sc 0.750 0.845 0.047
Sc 0.250 0.155 0.953
Te 0.750 0.187 0.289
Te 0.250 0.654 0.987
Te 0.250 0.024 0.121
Te 0.250 0.524 0.379
Te 0.250 0.154 0.513
Te 0.750 0.476 0.621
Te 0.250 0.313 0.789
Te 0.750 0.976 0.879
Te 0.750 0.346 0.013
Te 0.750 0.687 0.211
Te 0.750 0.846 0.487
Te 0.250 0.813 0.711

***

(10)
# Pr2ScTe4

Pr2ScTe4 after structural relaxation (PBE, Alexandria via LeMat-Bulk).

Summary:
The total energy comes out at -37.04 eV per formula unit. As for the crystal system: monoclinic.

Unit cell a=7.661 b=7.550 c=8.627 alpha=90.00 beta=106.16 gamma=90.00
Positions (direct):
Pr 0.718 0.750 0.056
Pr 0.282 0.250 0.944
Pr 0.292 0.250 0.449
Pr 0.708 0.750 0.551
Sc 0.234 0.750 0.183
Sc 0.766 0.250 0.817
Te 0.512 0.491 0.251
Te 0.032 0.750 0.869
Te 0.968 0.250 0.131
Te 0.512 0.009 0.251
Te 0.964 0.250 0.603
Te 0.488 0.991 0.749
Te 0.488 0.509 0.749
Te 0.036 0.750 0.397

***

(11)
# PrScTe2

PrScTe2 after structural relaxation (PBE, Alexandria via LeMat-Bulk).

Summary:
The total energy comes out at -22.46 eV per formula unit. As for the crystal system: trigonal.

Unit cell a=4.291 b=4.291 c=7.702 alpha=73.83 beta=73.83 gamma=60.00
Positions (direct):
Pr 0.500 0.500 0.500
Sc 0.000 0.000 0.000
Te 0.260 0.260 0.221
Te 0.740 0.740 0.779

***

Raw formation energy readings, ordered: -1.26 -1.35 -1.08 -1.29 -1.39 -0.57 -0.93 -1.32 -1.30 -1.23 -1.27 eV per atom